No. 1
Density functional theory data (meta-GGA SCAN) for a crystal of Na2RhAu relaxed with PBEsol.

Cell: 4.6215 4.6215 4.6215 Å, 60.00 60.00 60.00°
With the nearest neighbours (Å) after each atom.
Fractional coordinates of all 4 atoms:
Na 0.2500 0.2500 0.2500  4 Rh 2.83, 4 Au 2.83
Rh 0.0000 0.0000 0.0000  8 Na 2.83
Na 0.7500 0.7500 0.7500  4 Rh 2.83, 4 Au 2.83
Au 0.5000 0.5000 0.5000  8 Na 2.83

M_tot, μB/cell: 0.00
Energy of formation from the pure elements, eV per atom: 0.257
Total energy, eV/atom: -27.58



No. 2
Density functional theory data (meta-GGA SCAN) for a crystal of NaRuAu3 relaxed with PBEsol.

Cell: 4.6131 4.6131 4.6131 Å, 90.00 90.00 90.00°
With the nearest neighbours (Å) after each atom.
Fractional coordinates of all 5 atoms:
Na 0.0000 0.0000 0.0000  6 Au 2.31
Au 0.0000 0.5000 0.0000  2 Na 2.31
Au 0.0000 0.0000 0.5000  2 Na 2.31
Ru 0.5000 0.5000 0.5000  12 Au 3.26
Au 0.5000 0.0000 0.0000  2 Na 2.31

M_tot, μB/cell: 1.92
Energy of formation from the pure elements, eV per atom: 1.401
Total energy, eV/atom: -47.90



No. 3
Density functional theory data (meta-GGA SCAN) for a crystal of Na2ZnRuAu relaxed with PBEsol.

Cell: 4.6957 4.8738 4.8738 Å, 90.00 90.00 90.00°
With the nearest neighbours (Å) after each atom.
Fractional coordinates of all 5 atoms:
Na 0.0000 0.5000 0.0000  2 Zn 2.44
Na 0.0000 0.0000 0.5000  2 Zn 2.44
Ru 0.5000 0.5000 0.5000  8 Na 3.38, 4 Au 3.45
Au 0.5000 0.0000 0.0000  2 Zn 2.35
Zn 0.0000 0.0000 0.0000  2 Au 2.35, 4 Na 2.44

M_tot, μB/cell: 2.40
Energy of formation from the pure elements, eV per atom: 0.907
Total energy, eV/atom: -24.28



No. 4
Density functional theory data (meta-GGA SCAN) for a crystal of NaAuS3 relaxed with PBEsol.

Cell: 4.8374 4.8374 4.8374 Å, 90.00 90.00 90.00°
With the nearest neighbours (Å) after each atom.
Fractional coordinates of all 5 atoms:
S 0.0000 0.0000 0.5000  2 Au 2.42
S 0.0000 0.5000 0.0000  2 Au 2.42
Au 0.0000 0.0000 0.0000  6 S 2.42
S 0.5000 0.0000 0.0000  2 Au 2.42
Na 0.5000 0.5000 0.5000  12 S 3.42

M_tot, μB/cell: 0.00
Uncorrected formation energy, eV per atom: 0.17
Total energy, eV/atom: -20.28



No. 5
Density functional theory data (meta-GGA SCAN) for a crystal of Na7Au5S6 relaxed with PBEsol.

Cell: 7.0038 10.3941 22.3047 Å, 90.00 90.00 90.00°
With the nearest neighbours (Å) after each atom.
Fractional coordinates of all 72 atoms:
Na 0.5055 0.7411 0.9084  4 S 2.76-2.89
S 0.2500 0.6436 0.9978  1 Au 2.30
Na 0.8363 0.8789 0.1200  4 S 2.77-2.85, 1 Au 3.07
S 0.7500 0.8564 0.9978  1 Au 2.30
S 0.2500 0.3564 0.5022  1 Au 2.30
Au 0.5296 0.9965 0.6719  2 S 2.29-2.30
Au 0.0000 0.0000 0.5000  2 S 2.30
Na 0.6637 0.6211 0.6200  4 S 2.77-2.85, 1 Au 3.07
Na 0.9945 0.7589 0.4084  4 S 2.76-2.89
Au 0.5000 0.5000 0.0000  2 S 2.30
Au 0.5000 0.5000 0.5000  2 S 2.30
Na 0.5037 0.5000 0.2500  4 S 2.82-2.89, 2 Au 3.10
Na 0.8751 0.3922 0.4566  4 S 2.84-2.91, 2 Au 3.02-3.14
Na 0.3751 0.1078 0.4566  4 S 2.84-2.91, 2 Au 3.02-3.14
Na 0.0037 0.0000 0.2500  4 S 2.82-2.89, 2 Au 3.10
Au 0.7757 0.7411 0.7459  2 S 2.29-2.30
S 0.7094 0.6341 0.1610  2 Au 2.29-2.30
Na 0.1249 0.3922 0.9566  4 S 2.84-2.91, 2 Au 3.02-3.14
Au 0.4704 0.9965 0.1719  2 S 2.29-2.30
Au 0.7243 0.7589 0.2459  2 S 2.29-2.30
S 0.2598 0.8782 0.8320  2 Au 2.29-2.30
S 0.2598 0.1218 0.6680  2 Au 2.29-2.30
Na 0.6249 0.1078 0.9566  4 S 2.84-2.91, 2 Au 3.02-3.14
Na 0.9963 0.0000 0.7500  4 S 2.82-2.89, 2 Au 3.10
S 0.7500 0.3564 0.0022  1 Au 2.30
Na 0.3363 0.3789 0.3800  4 S 2.77-2.85, 1 Au 3.07
Na 0.3751 0.8922 0.0434  4 S 2.84-2.91, 2 Au 3.02-3.14
Na 0.4945 0.2589 0.0916  4 S 2.76-2.89
Au 0.0000 0.0000 0.0000  2 S 2.30
Na 0.6249 0.8922 0.5434  4 S 2.84-2.91, 2 Au 3.02-3.14
Au 0.2757 0.2411 0.7541  2 S 2.29-2.30
Na 0.3363 0.6211 0.1200  4 S 2.77-2.85, 1 Au 3.07
Au 0.2243 0.7411 0.2459  2 S 2.29-2.30
Au 0.5296 0.0035 0.8281  2 S 2.29-2.30
S 0.2500 0.8564 0.4978  1 Au 2.30
S 0.2500 0.1436 0.0022  1 Au 2.30
Au 0.2243 0.2589 0.2541  2 S 2.29-2.30
S 0.7402 0.1218 0.1680  2 Au 2.29-2.30
S 0.7500 0.6436 0.4978  1 Au 2.30
Au 0.2757 0.7589 0.7459  2 S 2.29-2.30
S 0.7598 0.6218 0.8320  2 Au 2.29-2.30
S 0.2402 0.3782 0.1680  2 Au 2.29-2.30
Au 0.4704 0.0035 0.3281  2 S 2.29-2.30
Na 0.1249 0.6078 0.5434  4 S 2.84-2.91, 2 Au 3.02-3.14
S 0.2094 0.8659 0.1610  2 Au 2.29-2.30
S 0.7094 0.3659 0.3390  2 Au 2.29-2.30
Na 0.8751 0.6078 0.0434  4 S 2.84-2.91, 2 Au 3.02-3.14
Na 0.0055 0.2411 0.5916  4 S 2.76-2.89
Na 0.1637 0.1211 0.8800  4 S 2.77-2.85, 1 Au 3.07
Na 0.8363 0.1211 0.3800  4 S 2.77-2.85, 1 Au 3.07
Na 0.5055 0.2589 0.5916  4 S 2.76-2.89
S 0.7500 0.1436 0.5022  1 Au 2.30
Au 0.0296 0.4965 0.8281  2 S 2.29-2.30
S 0.2094 0.1341 0.3390  2 Au 2.29-2.30
Na 0.0055 0.7589 0.9084  4 S 2.76-2.89
Au 0.7757 0.2589 0.7541  2 S 2.29-2.30
Na 0.4945 0.7411 0.4084  4 S 2.76-2.89
Au 0.9704 0.4965 0.3281  2 S 2.29-2.30
Na 0.6637 0.3789 0.8800  4 S 2.77-2.85, 1 Au 3.07
Na 0.4963 0.5000 0.7500  4 S 2.82-2.89, 2 Au 3.10
Au 0.9704 0.5035 0.1719  2 S 2.29-2.30
Na 0.1637 0.8789 0.6200  4 S 2.77-2.85, 1 Au 3.07
S 0.2906 0.6341 0.6610  2 Au 2.29-2.30
S 0.7598 0.3782 0.6680  2 Au 2.29-2.30
S 0.2906 0.3659 0.8390  2 Au 2.29-2.30
Au 0.7243 0.2411 0.2541  2 S 2.29-2.30
Au 0.0296 0.5035 0.6719  2 S 2.29-2.30
S 0.7402 0.8782 0.3320  2 Au 2.29-2.30
S 0.7906 0.1341 0.8390  2 Au 2.29-2.30
Na 0.9945 0.2411 0.0916  4 S 2.76-2.89
S 0.7906 0.8659 0.6610  2 Au 2.29-2.30
S 0.2402 0.6218 0.3320  2 Au 2.29-2.30

M_tot, μB/cell: 0.00
Uncorrected formation energy, eV per atom: -0.90
Total energy, eV/atom: -24.95



No. 6
Density functional theory data (meta-GGA SCAN) for a crystal of NaAuS relaxed with PBEsol.

Cell: 7.0385 12.7987 12.7987 Å, 110.54 90.00 90.00°
With the nearest neighbours (Å) after each atom.
Fractional coordinates of all 48 atoms:
Au 0.5336 0.4978 0.7428  2 S 2.29-2.30
Na 0.5000 0.1121 0.8879  4 S 2.84-2.88, 2 Au 3.09
Au 0.0336 0.7572 0.0022  2 S 2.29-2.30
Au 0.7153 0.5000 0.5000  2 S 2.30
S 0.7618 0.1914 0.0675  2 Au 2.30
Na 0.3334 0.9973 0.6272  4 S 2.78-2.92, 1 Au 3.06
Au 0.9664 0.9978 0.2428  2 S 2.29-2.30
Au 0.2500 0.2500 0.7500  2 S 2.29
Na 0.5000 0.7545 0.7545  4 S 2.80-2.82
S 0.2914 0.3176 0.9398  2 Au 2.29
Na 0.0000 0.6121 0.3879  4 S 2.84-2.88, 2 Au 3.09
Au 0.2847 0.5000 0.5000  2 S 2.30
Na 0.3334 0.0027 0.3728  4 S 2.78-2.92, 1 Au 3.06
Au 0.0336 0.2428 0.9978  2 S 2.29-2.30
S 0.2086 0.8176 0.4398  2 Au 2.29
Na 0.0000 0.3879 0.6121  4 S 2.84-2.88, 2 Au 3.09
Na 0.5000 0.2455 0.2455  4 S 2.80-2.82
Au 0.2500 0.7500 0.2500  2 S 2.29
Na 0.6666 0.3728 0.0027  4 S 2.78-2.92, 1 Au 3.06
S 0.2382 0.0675 0.1914  2 Au 2.30
S 0.2382 0.9325 0.8086  2 Au 2.30
S 0.2086 0.1824 0.5602  2 Au 2.29
Na 0.1666 0.5027 0.8728  4 S 2.78-2.92, 1 Au 3.06
Au 0.5336 0.5022 0.2572  2 S 2.29-2.30
Au 0.7500 0.2500 0.7500  2 S 2.29
Au 0.4664 0.7428 0.4978  2 S 2.29-2.30
Na 0.8334 0.1272 0.4973  4 S 2.78-2.92, 1 Au 3.06
S 0.7914 0.4398 0.8176  2 Au 2.29
S 0.7382 0.6914 0.5675  2 Au 2.30
S 0.7382 0.3086 0.4325  2 Au 2.30
Na 0.0000 0.2545 0.2545  4 S 2.80-2.82
Na 0.0000 0.7455 0.7455  4 S 2.80-2.82
Na 0.1666 0.4973 0.1272  4 S 2.78-2.92, 1 Au 3.06
S 0.2618 0.4325 0.3086  2 Au 2.30
Au 0.4664 0.2572 0.5022  2 S 2.29-2.30
S 0.7086 0.0602 0.6824  2 Au 2.29
Au 0.9664 0.0022 0.7572  2 S 2.29-2.30
Na 0.5000 0.8879 0.1121  4 S 2.84-2.88, 2 Au 3.09
Na 0.6666 0.6272 0.9973  4 S 2.78-2.92, 1 Au 3.06
S 0.7618 0.8086 0.9325  2 Au 2.30
Au 0.7847 0.0000 0.0000  2 S 2.30
S 0.7086 0.9398 0.3176  2 Au 2.29
S 0.2618 0.5675 0.6914  2 Au 2.30
Au 0.2153 0.0000 0.0000  2 S 2.30
Au 0.7500 0.7500 0.2500  2 S 2.29
Na 0.8334 0.8728 0.5027  4 S 2.78-2.92, 1 Au 3.06
S 0.2914 0.6824 0.0602  2 Au 2.29
S 0.7914 0.5602 0.1824  2 Au 2.29

M_tot, μB/cell: 0.00
Uncorrected formation energy, eV per atom: -0.81
Total energy, eV/atom: -28.47



No. 7
Density functional theory data (meta-GGA SCAN) for a crystal of NaSiAu2S relaxed with PBEsol.

Cell: 4.7369 4.7369 4.9940 Å, 90.00 90.00 90.00°
With the nearest neighbours (Å) after each atom.
Fractional coordinates of all 5 atoms:
Au 0.0000 0.5000 0.0000  2 Na 2.37
Au 0.5000 0.0000 0.0000  2 Na 2.37
S 0.5000 0.5000 0.5000  4 Si 3.35, 8 Au 3.44
Na 0.0000 0.0000 0.0000  4 Au 2.37, 2 Si 2.50
Si 0.0000 0.0000 0.5000  2 Na 2.50

M_tot, μB/cell: 0.00
Uncorrected formation energy, eV per atom: 1.40
Total energy, eV/atom: -31.04



No. 8
Density functional theory data (meta-GGA SCAN) for a crystal of NaSb2Au2 relaxed with PBEsol.

Cell: 4.6634 4.6634 6.6450 Å, 110.54 110.54 90.00°
With the nearest neighbours (Å) after each atom.
Fractional coordinates of all 5 atoms:
Sb 0.6232 0.6232 0.2465  4 Au 2.75, 1 Sb 2.84
Na 0.0000 0.0000 0.0000  8 Sb 3.59, 8 Au 3.71
Au 0.2500 0.7500 0.5000  4 Sb 2.75
Au 0.7500 0.2500 0.5000  4 Sb 2.75
Sb 0.3768 0.3768 0.7535  4 Au 2.75, 1 Sb 2.84

E above lowest polymorph, meV per atom: 0
M_tot, μB/cell: 0.00
Uncorrected formation energy, eV per atom: -0.24
Total energy, eV/atom: -43.65



No. 9
Density functional theory data (meta-GGA SCAN) for a crystal of NaSb2Au relaxed with PBEsol.

Cell: 5.0485 5.0485 5.0485 Å, 60.00 60.00 60.00°
With the nearest neighbours (Å) after each atom.
Fractional coordinates of all 4 atoms:
Sb 0.7500 0.7500 0.7500  4 Au 3.09, 4 Na 3.09
Sb 0.2500 0.2500 0.2500  4 Na 3.09, 4 Au 3.09
Au 0.5000 0.5000 0.5000  8 Sb 3.09
Na 0.0000 0.0000 0.0000  8 Sb 3.09

E above lowest polymorph, meV per atom: 266
M_tot, μB/cell: 0.00
Uncorrected formation energy, eV per atom: 0.01
Total energy, eV/atom: -36.97



No. 10
Density functional theory data (meta-GGA SCAN) for a crystal of NaSb2Au2 relaxed with PBEsol.

Cell: 4.9056 4.9056 6.2883 Å, 112.96 112.96 90.00°
With the nearest neighbours (Å) after each atom.
Fractional coordinates of all 5 atoms:
Sb 0.7500 0.2500 0.5000  4 Au 2.76
Au 0.6287 0.6287 0.2574  1 Au 2.70, 4 Sb 2.76
Au 0.3713 0.3713 0.7426  1 Au 2.70, 4 Sb 2.76
Sb 0.2500 0.7500 0.5000  4 Au 2.76
Na 0.0000 0.0000 0.0000  8 Sb 3.59, 10 Au 3.72-3.90

E above lowest polymorph, meV per atom: 27
M_tot, μB/cell: 0.00
Uncorrected formation energy, eV per atom: -0.21
Total energy, eV/atom: -43.62



No. 11
Density functional theory data (meta-GGA SCAN) for a crystal of Na2SbAu relaxed with PBEsol.

Cell: 5.7887 5.9486 5.9486 Å, 77.81 90.00 90.00°
With the nearest neighbours (Å) after each atom.
Fractional coordinates of all 8 atoms:
Na 0.7500 0.0128 0.3452  4 Sb 3.13-3.34, 3 Na 3.31-3.42, 2 Au 3.33
Na 0.2500 0.9872 0.6548  4 Sb 3.13-3.34, 3 Na 3.31-3.42, 2 Au 3.33
Na 0.2500 0.3452 0.0128  4 Sb 3.13-3.34, 3 Na 3.31-3.42, 2 Au 3.33
Na 0.7500 0.6548 0.9872  4 Sb 3.13-3.34, 3 Na 3.31-3.42, 2 Au 3.33
Sb 0.2500 0.7996 0.2004  2 Au 2.67
Au 0.0000 0.5000 0.5000  2 Sb 2.67, 2 Au 2.89
Au 0.5000 0.5000 0.5000  2 Sb 2.67, 2 Au 2.89
Sb 0.7500 0.2004 0.7996  2 Au 2.67

M_tot, μB/cell: 0.00
Uncorrected formation energy, eV per atom: -0.56
Total energy, eV/atom: -29.27



No. 12
Density functional theory data (meta-GGA SCAN) for a crystal of NaSb2Au relaxed with PBEsol.

Cell: 5.8003 6.6282 6.6282 Å, 78.96 64.05 64.05°
With the nearest neighbours (Å) after each atom.
Fractional coordinates of all 8 atoms:
Sb 0.3750 0.5663 0.9337  2 Au 2.71
Na 0.2500 0.5000 0.5000  2 Au 2.90
Au 0.0000 0.0000 0.0000  4 Sb 2.71, 2 Na 2.90
Sb 0.8750 0.4337 0.0663  2 Au 2.71
Sb 0.6913 0.9337 0.4337  2 Au 2.71
Au 0.7500 0.5000 0.5000  4 Sb 2.71, 2 Na 2.90
Na 0.5000 0.0000 0.0000  2 Au 2.90
Sb 0.0587 0.0663 0.5663  2 Au 2.71

E above lowest polymorph, meV per atom: 0
M_tot, μB/cell: 0.00
Uncorrected formation energy, eV per atom: -0.26
Total energy, eV/atom: -37.23